No. 1
{"formula": "BaGa3Ni3", "functional": "GGA-PBE", "state": "relaxed", "cell": [[-2.6127, 5.8496, 1.5474], [-0.6955, 1.7301, 6.3216], [5.8977, 5.6777, 2.5308]], "species": ["Ba", "Ba", "Ni", "Ni", "Ni", "Ni", "Ni", "Ni", "Ga", "Ga", "Ga", "Ga", "Ga", "Ga"], "frac_coords": [[0.3365, 0.3365, 0.9906], [0.6635, 0.6635, 0.0094], [0.2243, 0.4709, 0.6298], [0.6750, 0.2243, 0.6298], [0.3250, 0.7757, 0.3702], [0.7757, 0.5291, 0.3702], [0.4709, 0.6750, 0.6298], [0.5291, 0.3250, 0.3702], [0.5891, 0.9570, 0.3363], [0.9570, 0.1176, 0.3363], [0.0430, 0.8824, 0.6637], [0.4109, 0.0430, 0.6637], [0.1176, 0.5891, 0.3363], [0.8824, 0.4109, 0.6637]], "magnetic_moment_mub_per_cell": 0.0, "sg": "No. 148", "n_ef_per_ev_cell": 7.8, "formation_enthalpy_0k_ev_per_fu": -1.623, "polymorph_energy_mev_per_atom": 0}

---

No. 2
{"formula": "BaGaNi", "functional": "GGA-PBE", "state": "relaxed", "cell": [[-4.6305, -0.2891, 1.6445], [0.7136, -3.9936, 1.3072], [0.7322, 3.2682, 2.6362]], "species": ["Ba", "Ni", "Ga"], "frac_coords": [[0.6660, 0.3333, 0.6667], [0.1677, 0.6667, 0.3333], [0.1663, 0.0000, 0.0000]], "magnetic_moment_mub_per_cell": 0.0, "sg": "No. 156", "n_ef_per_ev_cell": 3.1, "formation_enthalpy_0k_ev_per_fu": -0.680}

---

No. 3
{"formula": "BaGa3Ni3", "functional": "GGA-PBE", "state": "relaxed", "cell": [[-1.2417, 2.3873, -6.0655], [3.3931, -5.0354, -2.6765], [-5.5657, -3.6024, -0.2785]], "species": ["Ni", "Ni", "Ni", "Ni", "Ni", "Ni", "Ga", "Ga", "Ga", "Ga", "Ga", "Ga", "Ba", "Ba"], "frac_coords": [[0.7500, 0.0000, 0.5000], [0.5000, 0.2500, 0.0000], [0.5000, 0.7500, 0.0000], [0.0000, 0.5000, 0.7500], [0.0000, 0.5000, 0.2500], [0.2500, 0.0000, 0.5000], [0.5000, 0.0000, 0.7500], [0.0000, 0.7500, 0.5000], [0.7500, 0.5000, 0.0000], [0.5000, 0.0000, 0.2500], [0.2500, 0.5000, 0.0000], [0.0000, 0.2500, 0.5000], [0.0000, 0.0000, 0.0000], [0.5000, 0.5000, 0.5000]], "magnetic_moment_mub_per_cell": 0.0, "sg": "No. 223", "n_ef_per_ev_cell": 10.3, "formation_enthalpy_0k_ev_per_fu": -1.074, "polymorph_energy_mev_per_atom": 79}

---

No. 4
{"formula": "BaGa6Ni4", "functional": "GGA-PBE", "state": "relaxed", "cell": [[4.0651, 0.0000, 0.0000], [0.0000, 7.1256, 0.0000], [0.0000, -3.5628, 6.1709]], "species": ["Ga", "Ga", "Ga", "Ga", "Ga", "Ga", "Ni", "Ni", "Ni", "Ni", "Ba"], "frac_coords": [[0.0000, 0.9307, 0.4653], [0.5000, 0.5937, 0.7969], [0.0000, 0.5347, 0.0693], [0.0000, 0.5347, 0.4653], [0.5000, 0.2031, 0.4063], [0.5000, 0.2031, 0.7969], [0.5000, 0.7847, 0.2153], [0.5000, 0.4307, 0.2153], [0.0000, 0.3333, 0.6667], [0.5000, 0.7847, 0.5693], [0.0000, 0.0000, 0.0000]], "magnetic_moment_mub_per_cell": 0.0, "sg": "No. 187", "n_ef_per_ev_cell": 4.1, "formation_enthalpy_0k_ev_per_fu": -3.877}

---

No. 5
{"formula": "Ba2Ga7Ni", "functional": "GGA-PBE", "state": "relaxed", "cell": [[-0.2071, -4.4784, 0.6100], [1.6820, 0.4904, 4.1715], [-10.0856, 1.0043, 3.9486]], "species": ["Ga", "Ga", "Ga", "Ga", "Ga", "Ga", "Ga", "Ba", "Ba", "Ni"], "frac_coords": [[0.0000, 0.5000, 0.6349], [0.0000, 0.0000, 0.5000], [0.5000, 0.5000, 0.5000], [0.0000, 0.0000, 0.0000], [0.0000, 0.5000, 0.8864], [0.5000, 0.0000, 0.1136], [0.5000, 0.0000, 0.3651], [0.0000, 0.5000, 0.2446], [0.5000, 0.0000, 0.7554], [0.5000, 0.5000, 0.0000]], "magnetic_moment_mub_per_cell": 0.0, "sg": "No. 115", "n_ef_per_ev_cell": 4.6, "formation_enthalpy_0k_ev_per_fu": -3.905}

---

No. 6
{"formula": "Ba3GaNi", "functional": "GGA-PBE", "state": "relaxed", "cell": [[5.9245, 0.0000, 0.0000], [0.0000, 5.9245, 0.0000], [0.0000, 0.0000, 5.9245]], "species": ["Ni", "Ba", "Ba", "Ba", "Ga"], "frac_coords": [[0.0000, 0.0000, 0.0000], [0.0000, 0.0000, 0.5000], [0.0000, 0.5000, 0.0000], [0.5000, 0.0000, 0.0000], [0.5000, 0.5000, 0.5000]], "magnetic_moment_mub_per_cell": 0.8, "sg": "No. 221", "n_ef_per_ev_cell": 4.7, "formation_enthalpy_0k_ev_per_fu": 0.322, "polymorph_energy_mev_per_atom": 0}

---

No. 7
{"formula": "Ba3Ga9Ni2", "functional": "GGA-PBE", "state": "relaxed", "cell": [[-0.1673, -4.1557, -1.1381], [6.1001, -3.8801, 5.1023], [-5.5807, -3.6119, 5.8403]], "species": ["Ga", "Ga", "Ga", "Ga", "Ga", "Ga", "Ga", "Ga", "Ga", "Ni", "Ni", "Ba", "Ba", "Ba"], "frac_coords": [[0.8916, 0.4043, 0.8125], [0.0000, 0.5000, 0.5000], [0.3290, 0.9912, 0.3508], [0.1084, 0.5957, 0.1875], [0.6710, 0.0088, 0.6492], [0.6710, 0.6492, 0.0088], [0.8916, 0.8125, 0.4043], [0.3290, 0.3508, 0.9912], [0.1084, 0.1875, 0.5957], [0.5000, 0.2809, 0.7191], [0.5000, 0.7191, 0.2809], [0.2987, 0.7013, 0.7013], [0.7013, 0.2987, 0.2987], [0.0000, 0.0000, 0.0000]], "magnetic_moment_mub_per_cell": 0.0, "sg": "No. 71", "n_ef_per_ev_cell": 6.3, "formation_enthalpy_0k_ev_per_fu": -5.198}

---

No. 8
{"formula": "BaGa6Ni3", "functional": "GGA-PBE", "state": "relaxed", "cell": [[-3.3707, -5.2519, -0.7182], [5.2436, -2.4919, -6.3875], [0.9673, -1.8350, 8.8784]], "species": ["Ga", "Ga", "Ga", "Ga", "Ga", "Ga", "Ga", "Ga", "Ga", "Ga", "Ga", "Ga", "Ni", "Ni", "Ni", "Ni", "Ni", "Ni", "Ba", "Ba"], "frac_coords": [[0.1086, 0.8097, 0.2604], [0.2971, 0.4049, 0.1003], [0.5678, 0.9988, 0.7768], [0.8914, 0.1903, 0.7396], [0.7971, 0.0951, 0.3997], [0.2029, 0.9049, 0.6003], [0.7029, 0.5951, 0.8997], [0.4322, 0.0012, 0.2232], [0.0678, 0.5012, 0.7232], [0.6086, 0.6903, 0.2396], [0.9322, 0.4988, 0.2768], [0.3914, 0.3097, 0.7604], [0.1510, 0.1493, 0.5014], [0.3490, 0.6493, 0.0014], [0.0000, 0.5000, 0.0000], [0.8490, 0.8507, 0.4986], [0.6510, 0.3507, 0.9986], [0.5000, 0.0000, 0.5000], [0.5000, 0.5000, 0.5000], [0.0000, 0.0000, 0.0000]], "magnetic_moment_mub_per_cell": 0.0, "sg": "No. 14", "n_ef_per_ev_cell": 11.7, "formation_enthalpy_0k_ev_per_fu": -2.665}

---

No. 9
{"formula": "Ba2Ga2Ni", "functional": "GGA-PBE", "state": "relaxed", "cell": [[4.0558, 0.0000, 1.1643], [1.8608, 3.6038, 1.1643], [-0.8015, -0.4882, 10.4382]], "species": ["Ga", "Ga", "Ba", "Ba", "Ni"], "frac_coords": [[0.3127, 0.3127, 0.0619], [0.6873, 0.6873, 0.9381], [0.5712, 0.5712, 0.2865], [0.4288, 0.4288, 0.7135], [0.0000, 0.0000, 0.0000]], "magnetic_moment_mub_per_cell": 0.3, "sg": "No. 166", "n_ef_per_ev_cell": 5.3, "formation_enthalpy_0k_ev_per_fu": -1.557, "polymorph_energy_mev_per_atom": 0}

---

No. 10
{"formula": "BaGaNi", "functional": "GGA-PBE", "state": "relaxed", "cell": [[4.4435, -0.3893, 0.0661], [0.0398, 4.4588, 0.0634], [0.3321, 0.2988, 8.5371]], "species": ["Ni", "Ni", "Ga", "Ga", "Ba", "Ba"], "frac_coords": [[0.3620, 0.8186, 0.9196], [0.7651, 0.4144, 0.9196], [0.8546, 0.9073, 0.0245], [0.2725, 0.3256, 0.8147], [0.8026, 0.8553, 0.6268], [0.3246, 0.3776, 0.2125]], "magnetic_moment_mub_per_cell": 0.0, "sg": "No. 12", "n_ef_per_ev_cell": 4.4, "formation_enthalpy_0k_ev_per_fu": -0.985}

---

No. 11
{"formula": "BaGa3Ni", "functional": "GGA-PBE", "state": "relaxed", "cell": [[-4.5219, -1.5399, 0.3837], [0.0741, -1.3624, -4.5939], [1.5852, -4.3288, 1.3093]], "species": ["Ba", "Ga", "Ga", "Ga", "Ni"], "frac_coords": [[0.5000, 0.5000, 0.5000], [0.0000, 0.5000, 0.0000], [0.0000, 0.0000, 0.5000], [0.5000, 0.0000, 0.0000], [0.0000, 0.0000, 0.0000]], "magnetic_moment_mub_per_cell": 0.0, "sg": "No. 221", "n_ef_per_ev_cell": 4.4, "formation_enthalpy_0k_ev_per_fu": -1.573}

---

no.,E_tot (eV/cell)
1,-59.941
2,-11.411
3,-58.842
4,-47.087
5,-34.720
6,-14.255
7,-49.771
8,-80.187
9,-17.237
10,-23.433
11,-18.357